Record 1
GeP2S2 | PBE-GGA | optimized geometry

```
5
Lattice="4.571 0.000 0.000 0.000 4.571 0.000 0.000 0.000 4.546" Properties=species:S:1:pos:R:3 pbc="T T T"
Ge 0.000 0.000 0.000
P 0.000 2.286 2.273
P 2.286 0.000 2.273
S 2.286 2.286 0.000
S 2.286 2.286 2.273
```

## Properties
The calculation puts the size of the total moment at 0.0 μB/cell. As for the symmetry: P4/mmm (123). The crystal system is tetragonal. The distance to the lowest polymorph of the same formula is 652.3 meV/atom.


Record 2
GeP2S2 | PBE-GGA | optimized geometry

```
5
Lattice="4.619 0.000 0.000 0.000 4.619 0.000 0.000 0.000 4.734" Properties=species:S:1:pos:R:3 pbc="T T T"
Ge 0.000 0.000 0.000
P 0.000 0.000 2.367
P 2.309 2.309 2.367
S 0.000 2.309 0.000
S 2.309 0.000 0.000
```

## Properties
The calculation puts the size of the total moment at 0.0 μB/cell. As for the symmetry: P4/mmm (123). The crystal system is tetragonal. The distance to the lowest polymorph of the same formula is 808.6 meV/atom.


Record 3
Ge2PS | PBE-GGA | optimized geometry

```
4
Lattice="1.958 1.131 7.141 -1.958 1.131 7.141 0.000 -2.261 7.141" Properties=species:S:1:pos:R:3 pbc="T T T"
Ge 0.000 0.000 2.260
Ge 0.000 0.000 19.164
P 0.000 0.000 10.712
S 0.000 0.000 0.000
```

## Properties
The calculation puts the size of the total moment at 0.0 μB/cell. As for the symmetry: R-3m (166). The crystal system is trigonal. The distance to the lowest polymorph of the same formula is 236.4 meV/atom.